[1]
Compound: BaReAsO
Source: OQMD via LeMat-Bulk
Functional: PBE
Structure: optimized geometry

Unit cell a=4.300 b=4.300 c=8.236 alpha=90.00 beta=90.00 gamma=90.00
Fractional positions:
O  0.750  0.250  0.000
O  0.250  0.750  0.000
Ba  0.750  0.250  0.500
Ba  0.250  0.750  0.500
Re  0.750  0.750  0.917
Re  0.250  0.250  0.083
As  0.750  0.750  0.210
As  0.250  0.250  0.790

Summary:
* raw total energy: -44.15 eV per cell
* size of the total moment: 0.446 μB/f.u.
* space-group type: P4/nmm
* crystal system: tetragonal
* relative energy among the computed polymorphs: 1344 meV/atom

***

[2]
Compound: BaReAsO
Source: OQMD via LeMat-Bulk
Functional: PBE
Structure: optimized geometry

Unit cell a=4.211 b=7.160 c=6.583 alpha=90.00 beta=90.00 gamma=90.00
Fractional positions:
Re  0.500  0.096  0.534
Re  0.500  0.904  0.034
As  0.000  0.251  0.446
As  0.000  0.749  0.946
Ba  0.000  0.714  0.447
Ba  0.000  0.286  0.947
O  0.500  0.895  0.327
O  0.500  0.105  0.827

Summary:
* raw total energy: -54.02 eV per cell
* size of the total moment: 0.000 μB/f.u.
* space-group type: Pmc2_1
* crystal system: orthorhombic
* relative energy among the computed polymorphs: 111 meV/atom

***

[3]
Compound: BaReAsO
Source: OQMD via LeMat-Bulk
Functional: PBE
Structure: optimized geometry

Unit cell a=3.982 b=3.982 c=10.961 alpha=90.00 beta=90.00 gamma=90.00
Each line ends with the local moment (μB).
Fractional positions:
O  0.500  0.500  0.000  -0.01
O  0.000  0.000  0.000  -0.01
Ba  0.000  0.500  0.864  0.00
Ba  0.500  0.000  0.136  0.00
As  0.000  0.500  0.353  0.00
As  0.500  0.000  0.647  0.00
Re  0.000  0.000  0.500  0.16
Re  0.500  0.500  0.500  0.16

Summary:
* raw total energy: -54.91 eV per cell
* size of the total moment: 0.145 μB/f.u.
* space-group type: P4/nmm
* crystal system: tetragonal
* relative energy among the computed polymorphs: 0 meV/atom

***

[4]
Compound: BaSmAsO
Source: OQMD via LeMat-Bulk
Functional: PBE
Structure: optimized geometry

Unit cell a=4.171 b=7.028 c=7.669 alpha=90.00 beta=90.00 gamma=90.00
Fractional positions:
Ba  0.500  0.439  0.099
Ba  0.500  0.561  0.599
As  0.000  0.255  0.814
As  0.000  0.745  0.314
O  0.500  0.762  0.889
O  0.500  0.238  0.389
Sm  0.000  0.876  0.953
Sm  0.000  0.124  0.453

Summary:
* raw total energy: -47.36 eV per cell
* size of the total moment: 0.001 μB/f.u.
* space-group type: Pmc2_1
* crystal system: orthorhombic
* relative energy among the computed polymorphs: 140 meV/atom

***

[5]
Compound: BaSmAsO
Source: OQMD via LeMat-Bulk
Functional: PBE
Structure: optimized geometry

Unit cell a=4.510 b=4.510 c=9.705 alpha=90.00 beta=90.00 gamma=90.00
Fractional positions:
As  0.250  0.250  0.730
As  0.750  0.750  0.270
Sm  0.250  0.250  0.086
Sm  0.750  0.750  0.914
Ba  0.250  0.750  0.500
Ba  0.750  0.250  0.500
O  0.750  0.250  0.000
O  0.250  0.750  0.000

Summary:
* raw total energy: -45.14 eV per cell
* size of the total moment: 0.002 μB/f.u.
* space-group type: P4/nmm
* crystal system: tetragonal
* relative energy among the computed polymorphs: 418 meV/atom

***

[6]
Compound: BaSmAsO
Source: OQMD via LeMat-Bulk
Functional: PBE
Structure: optimized geometry

Unit cell a=4.977 b=4.977 c=10.128 alpha=90.00 beta=90.00 gamma=90.00
Fractional positions:
O  0.250  0.750  0.000
O  0.750  0.250  0.000
Ba  0.250  0.250  0.089
Ba  0.750  0.750  0.911
Sm  0.750  0.250  0.500
Sm  0.250  0.750  0.500
As  0.750  0.750  0.358
As  0.250  0.250  0.642

Summary:
* raw total energy: -44.25 eV per cell
* size of the total moment: 0.187 μB/f.u.
* space-group type: P4/nmm
* crystal system: tetragonal
* relative energy among the computed polymorphs: 529 meV/atom

***

[7]
Compound: BaSmAsO
Source: OQMD via LeMat-Bulk
Functional: PBE
Structure: optimized geometry

Unit cell a=4.768 b=7.678 c=6.806 alpha=90.00 beta=90.00 gamma=90.00
Fractional positions:
O  0.500  0.641  0.865
O  0.500  0.359  0.365
As  0.000  0.228  0.915
As  0.000  0.772  0.415
Ba  0.000  0.803  0.937
Ba  0.000  0.197  0.437
Sm  0.500  0.394  0.037
Sm  0.500  0.606  0.537

Summary:
* raw total energy: -48.49 eV per cell
* size of the total moment: 0.001 μB/f.u.
* space-group type: Pmc2_1
* crystal system: orthorhombic
* relative energy among the computed polymorphs: 0 meV/atom

***

[8]
Compound: BaSmAsO
Source: OQMD via LeMat-Bulk
Functional: PBE
Structure: optimized geometry

Unit cell a=4.524 b=4.524 c=9.654 alpha=90.00 beta=90.00 gamma=90.00
Fractional positions:
As  0.500  0.000  0.731
As  0.000  0.500  0.269
O  0.500  0.500  0.000
O  0.000  0.000  0.000
Sm  0.000  0.500  0.914
Sm  0.500  0.000  0.086
Ba  0.000  0.000  0.500
Ba  0.500  0.500  0.500

Summary:
* raw total energy: -45.14 eV per cell
* size of the total moment: 0.000 μB/f.u.
* space-group type: P4/nmm
* crystal system: tetragonal
* relative energy among the computed polymorphs: 418 meV/atom

***

[9]
Compound: Ba2Sm3As2O2
Source: OQMD via LeMat-Bulk
Functional: PBE
Structure: optimized geometry

Unit cell a=10.878 b=10.878 c=10.878 alpha=155.30 beta=155.30 gamma=35.21
Each line ends with the local moment (μB).
Fractional positions:
O  0.500  0.000  0.500  0.00
O  0.000  0.500  0.500  0.00
Ba  0.412  0.412  0.000  0.06
Ba  0.588  0.588  0.000  0.06
Sm  0.750  0.250  0.500  0.51
Sm  0.000  0.000  0.000  0.03
Sm  0.250  0.750  0.500  0.51
As  0.154  0.154  0.000  -0.01
As  0.846  0.846  0.000  -0.01

Summary:
* raw total energy: -53.27 eV per cell
* size of the total moment: 2.386 μB/f.u.
* space-group type: I4/mmm
* crystal system: tetragonal

***

[10]
Compound: Ba3TaAs3O
Source: OQMD via LeMat-Bulk
Functional: PBE
Structure: optimized geometry

Unit cell a=6.796 b=11.207 c=13.608 alpha=90.00 beta=90.00 gamma=90.00
Fractional positions:
Ba  0.742  0.455  0.368
Ba  0.742  0.045  0.368
Ba  0.278  0.250  0.873
Ba  0.242  0.455  0.132
Ba  0.758  0.955  0.868
Ba  0.258  0.545  0.632
Ba  0.758  0.545  0.868
Ba  0.242  0.045  0.132
Ba  0.222  0.750  0.373
Ba  0.722  0.750  0.127
Ba  0.778  0.250  0.627
Ba  0.258  0.955  0.632
As  0.266  0.944  0.883
As  0.766  0.944  0.617
As  0.234  0.056  0.383
As  0.276  0.250  0.635
As  0.734  0.056  0.117
As  0.266  0.556  0.883
As  0.224  0.750  0.135
As  0.734  0.444  0.117
As  0.776  0.250  0.865
As  0.766  0.556  0.617
As  0.234  0.444  0.383
As  0.724  0.750  0.365
O  0.614  0.250  0.446
O  0.886  0.750  0.946
O  0.114  0.250  0.054
O  0.386  0.750  0.554
Ta  0.338  0.250  0.455
Ta  0.662  0.750  0.545
Ta  0.162  0.750  0.955
Ta  0.838  0.250  0.045

Summary:
* raw total energy: -192.77 eV per cell
* size of the total moment: 0.002 μB/f.u.
* space-group type: Pnma
* crystal system: orthorhombic

***

[11]
Compound: BaTcAs2O8
Source: OQMD via LeMat-Bulk
Functional: PBE
Structure: optimized geometry

Unit cell a=4.979 b=4.979 c=7.836 alpha=93.79 beta=93.79 gamma=67.17
Each line ends with the local moment (μB).
Fractional positions:
O  0.750  0.245  0.691  0.05
O  0.760  0.760  0.474  0.07
O  0.311  0.311  0.905  0.02
O  0.250  0.755  0.309  0.05
O  0.240  0.240  0.526  0.07
O  0.755  0.250  0.309  0.05
O  0.689  0.689  0.095  0.02
O  0.245  0.750  0.691  0.05
Ba  0.000  0.000  0.000  0.01
As  0.373  0.373  0.705  0.03
As  0.627  0.627  0.295  0.03
Tc  0.000  0.000  0.500  2.31

Summary:
* raw total energy: -80.43 eV per cell
* size of the total moment: 3.000 μB/f.u.
* space-group type: C2/m
* crystal system: monoclinic

***

[12]
Compound: BaTmAsO
Source: OQMD via LeMat-Bulk
Functional: PBE
Structure: optimized geometry

Unit cell a=4.026 b=6.777 c=7.738 alpha=90.00 beta=90.00 gamma=90.00
Fractional positions:
Ba  0.500  0.930  0.100
Ba  0.500  0.070  0.600
As  0.000  0.746  0.804
As  0.000  0.254  0.304
Tm  0.000  0.376  0.954
Tm  0.000  0.624  0.454
O  0.500  0.733  0.396
O  0.500  0.267  0.896

Summary:
* raw total energy: -47.01 eV per cell
* size of the total moment: 0.004 μB/f.u.
* space-group type: Pmc2_1
* crystal system: orthorhombic
* relative energy among the computed polymorphs: 197 meV/atom

***

[13]
Compound: BaTmAsO
Source: OQMD via LeMat-Bulk
Functional: PBE
Structure: optimized geometry

Unit cell a=4.645 b=7.595 c=6.669 alpha=90.00 beta=90.00 gamma=90.00
Fractional positions:
As  0.000  0.776  0.427
As  0.000  0.224  0.927
Ba  0.000  0.796  0.940
Ba  0.000  0.204  0.440
O  0.500  0.624  0.855
O  0.500  0.376  0.355
Tm  0.500  0.609  0.532
Tm  0.500  0.391  0.032

Summary:
* raw total energy: -48.58 eV per cell
* size of the total moment: 0.000 μB/f.u.
* space-group type: Pmc2_1
* crystal system: orthorhombic
* relative energy among the computed polymorphs: 0 meV/atom

***

[14]
Compound: BaTmAsO
Source: OQMD via LeMat-Bulk
Functional: PBE
Structure: optimized geometry

Unit cell a=4.455 b=4.455 c=9.448 alpha=90.00 beta=90.00 gamma=90.00
Fractional positions:
As  0.000  0.500  0.263
As  0.500  0.000  0.737
Tm  0.000  0.500  0.930
Tm  0.500  0.000  0.070
O  0.500  0.500  0.000
O  0.000  0.000  0.000
Ba  0.500  0.500  0.500
Ba  0.000  0.000  0.500

Summary:
* raw total energy: -44.18 eV per cell
* size of the total moment: 0.007 μB/f.u.
* space-group type: P4/nmm
* crystal system: tetragonal
* relative energy among the computed polymorphs: 550 meV/atom

***

[15]
Compound: BaTmAsO
Source: OQMD via LeMat-Bulk
Functional: PBE
Structure: optimized geometry

Unit cell a=4.866 b=4.866 c=9.926 alpha=90.00 beta=90.00 gamma=90.00
Fractional positions:
Ba  0.750  0.750  0.903
Ba  0.250  0.250  0.097
As  0.750  0.750  0.365
As  0.250  0.250  0.635
Tm  0.750  0.250  0.500
Tm  0.250  0.750  0.500
O  0.750  0.250  0.000
O  0.250  0.750  0.000

Summary:
* raw total energy: -44.21 eV per cell
* size of the total moment: 0.165 μB/f.u.
* space-group type: P4/nmm
* crystal system: tetragonal
* relative energy among the computed polymorphs: 546 meV/atom

***

[16]
Compound: BaZn2As2O8
Source: OQMD via LeMat-Bulk
Functional: PBE
Structure: optimized geometry

Unit cell a=8.169 b=8.169 c=8.169 alpha=35.85 beta=35.85 gamma=35.85
Fractional positions:
O  0.218  0.874  0.570
O  0.349  0.349  0.349
O  0.782  0.126  0.430
O  0.570  0.218  0.874
O  0.430  0.782  0.126
O  0.874  0.570  0.218
O  0.651  0.651  0.651
O  0.126  0.430  0.782
As  0.578  0.578  0.578
As  0.422  0.422  0.422
Zn  0.828  0.828  0.828
Zn  0.172  0.172  0.172
Ba  0.000  0.000  0.000

Summary:
* raw total energy: -74.70 eV per cell
* space-group type: R-3
* crystal system: trigonal
* relative energy among the computed polymorphs: 54 meV/atom

***

[17]
Compound: Ba2Zn2As2O
Source: OQMD via LeMat-Bulk
Functional: PBE
Structure: optimized geometry

Unit cell a=6.509 b=6.509 c=7.570 alpha=120.75 beta=120.75 gamma=37.23
Fractional positions:
O  0.500  0.500  0.000
Ba  0.046  0.046  0.285
Ba  0.954  0.954  0.715
Zn  0.692  0.692  0.080
Zn  0.308  0.308  0.920
As  0.311  0.311  0.274
As  0.689  0.689  0.726

Summary:
* raw total energy: -28.97 eV per cell
* space-group type: C2/m
* crystal system: monoclinic

***

[18]
Compound: BaZn2As2O8
Source: OQMD via LeMat-Bulk
Functional: PBE
Structure: optimized geometry

Unit cell a=8.814 b=10.015 c=9.321 alpha=90.00 beta=91.47 gamma=90.00
Fractional positions:
Ba  0.252  0.415  0.886
Ba  0.748  0.585  0.114
Ba  0.252  0.085  0.386
Ba  0.748  0.915  0.614
O  0.783  0.138  0.989
O  0.783  0.362  0.489
O  0.486  0.065  0.191
O  0.005  0.107  0.210
O  0.995  0.607  0.290
O  0.910  0.691  0.557
O  0.995  0.893  0.790
O  0.564  0.801  0.110
O  0.065  0.865  0.384
O  0.486  0.435  0.691
O  0.737  0.924  0.325
O  0.090  0.191  0.943
O  0.263  0.076  0.675
O  0.910  0.809  0.057
O  0.440  0.870  0.382
O  0.090  0.309  0.443
O  0.263  0.424  0.175
O  0.217  0.638  0.511
O  0.935  0.365  0.116
O  0.737  0.576  0.825
O  0.217  0.862  0.011
O  0.005  0.393  0.710
O  0.564  0.699  0.610
O  0.436  0.199  0.890
O  0.560  0.130  0.618
O  0.440  0.630  0.882
O  0.935  0.135  0.616
O  0.514  0.565  0.309
O  0.436  0.301  0.390
O  0.065  0.635  0.884
O  0.560  0.370  0.118
O  0.514  0.935  0.809
As  0.441  0.414  0.254
As  0.947  0.299  0.564
As  0.441  0.086  0.754
As  0.559  0.914  0.246
As  0.947  0.201  0.064
As  0.053  0.701  0.436
As  0.053  0.799  0.936
As  0.559  0.586  0.746
Zn  0.928  0.575  0.722
Zn  0.072  0.425  0.278
Zn  0.928  0.925  0.222
Zn  0.417  0.816  0.946
Zn  0.583  0.184  0.054
Zn  0.583  0.316  0.554
Zn  0.417  0.684  0.446
Zn  0.072  0.075  0.778

Summary:
* raw total energy: -301.60 eV per cell
* space-group type: P2_1/c
* crystal system: monoclinic
* relative energy among the computed polymorphs: 0 meV/atom

***

[19]
Compound: Ba2Zn2As2O
Source: OQMD via LeMat-Bulk
Functional: PBE
Structure: optimized geometry

Unit cell a=4.432 b=4.432 c=19.621 alpha=90.00 beta=90.00 gamma=120.00
Fractional positions:
As  0.333  0.667  0.390
As  0.667  0.333  0.890
As  0.333  0.667  0.110
As  0.667  0.333  0.610
Ba  0.000  0.000  0.250
Ba  0.000  0.000  0.500
Ba  0.000  0.000  0.000
Ba  0.000  0.000  0.750
O  0.333  0.667  0.750
O  0.667  0.333  0.250
Zn  0.667  0.333  0.143
Zn  0.333  0.667  0.643
Zn  0.667  0.333  0.357
Zn  0.333  0.667  0.857

Summary:
* raw total energy: -57.94 eV per cell
* space-group type: P6_3/mmc
* crystal system: hexagonal

***

[20]
Compound: Ba2TmAsP
Source: OQMD via LeMat-Bulk
Functional: PBE
Structure: optimized geometry

Unit cell a=8.920 b=8.920 c=8.601 alpha=90.00 beta=90.00 gamma=150.18
Each line ends with the local moment (μB).
Fractional positions:
As  0.552  0.448  0.411  -0.01
As  0.448  0.552  0.911  -0.01
Ba  0.792  0.208  0.887  0.02
Ba  0.059  0.941  0.722  0.04
Ba  0.208  0.792  0.387  0.02
Ba  0.941  0.059  0.222  0.04
Tm  0.590  0.410  0.087  0.08
Tm  0.410  0.590  0.587  0.08
P  0.833  0.167  0.526  -0.01
P  0.167  0.833  0.026  -0.01

Summary:
* raw total energy: -47.18 eV per cell
* size of the total moment: 0.341 μB/f.u.
* space-group type: Cmc2_1
* crystal system: orthorhombic